PBE-GGA Ti3CuRh2, relaxed; space-group type = P4/mmm (123); energy above the most stable polymorph in this dataset = 0.5 kJ/mol of atoms
1.0
3.1297 0.0000 0.0000
0.0000 3.1297 0.0000
0.0000 0.0000 9.1335
Ti Cu Rh
3 1 2
Cartesian
0.0000 0.0000 0.0000
0.0000 0.0000 3.0623
0.0000 0.0000 6.0711
1.5648 1.5648 4.5667
1.5648 1.5648 1.5390
1.5648 1.5648 7.5944